This record from Alexandria describes an optimized crystal structure of Li3CoNi3O8. The functional is GGA+U.

The structure in CIF format:
```
data_Li3CoNi3O8
_cell_length_a 5.7287
_cell_length_b 5.7287
_cell_length_c 9.2950
_cell_angle_alpha 90.00
_cell_angle_beta 90.00
_cell_angle_gamma 120.00
_space_group_name_H-M_alt 'P 3 1 c'
_space_group_IT_number 159
loop_
_space_group_symop_operation_xyz
'x,y,z'
'-y,x-y,z'
'-x+y,-x,z'
'y,x,z+1/2'
'x-y,-y,z+1/2'
'-x,-x+y,z+1/2'
loop_
_atom_site_label
_atom_site_fract_x
_atom_site_fract_y
_atom_site_fract_z
Li1 0.1591 0.8233 0.0000
Co1 0.3333 0.6667 0.4613
Ni1 0.1633 0.8244 0.7340
O1 0.0000 0.0000 0.1343
O2 0.0385 0.4992 0.5962
O3 0.1536 0.8215 0.3585
O4 0.3333 0.6667 0.8421
```

Output
E above lowest polymorph: 51.8 meV per atom
Final energy: -150.0 eV per cell